(1)
The following is a DFT calculation (GGA-PBE) of a relaxed structure of AsS2ICl.

a = 5.1725 Å, b = 5.1725 Å, c = 5.3117 Å
α = 90.00°, β = 90.00°, γ = 90.00°
Space group P4/mmm (No. 123)
Unique sites:
As 0.0000 0.0000 0.0000
S 0.0000 0.5000 0.5000
I 0.5000 0.5000 0.5000
Cl 0.5000 0.5000 0.0000

Output
Offset from the most stable computed form: 0.588 eV per atom
Formation energy without anion corrections: 97 kJ per mole of atoms
Energy: -11.283 eV per cell
Volume: 28.42 A^3/atom
DOS at the Fermi energy: 3.6 states/eV per cell



(2)
The following is a DFT calculation (GGA-PBE) of a relaxed structure of SbAsI2Cl.

a = 5.6136 Å, b = 5.6136 Å, c = 5.7338 Å
α = 90.00°, β = 90.00°, γ = 90.00°
Space group P4/mmm (No. 123)
Unique sites:
Sb 0.0000 0.0000 0.0000
As 0.5000 0.5000 0.0000
I 0.0000 0.5000 0.5000
Cl 0.0000 0.0000 0.5000

Output
Offset from the most stable computed form: 0.586 eV per atom
Formation energy without anion corrections: 87 kJ per mole of atoms
Energy: -9.189 eV per cell
Volume: 36.14 A^3/atom
DOS at the Fermi energy: 3.4 states/eV per cell



(3)
The following is a DFT calculation (GGA-PBE) of a relaxed structure of SbAsI2Cl.

a = 5.5759 Å, b = 5.5759 Å, c = 5.6271 Å
α = 90.00°, β = 90.00°, γ = 90.00°
Space group P4/mmm (No. 123)
Unique sites:
Sb 0.0000 0.0000 0.0000
As 0.0000 0.0000 0.5000
I 0.0000 0.5000 0.5000
Cl 0.5000 0.5000 0.0000

Output
Offset from the most stable computed form: 0.000 eV per atom
Formation energy without anion corrections: 31 kJ per mole of atoms
Energy: -12.120 eV per cell
Volume: 34.99 A^3/atom
DOS at the Fermi energy: 3.6 states/eV per cell



(4)
The following is a DFT calculation (GGA-PBE) of a relaxed structure of AsSe2ICl.

a = 5.1005 Å, b = 5.1005 Å, c = 5.1763 Å
α = 90.00°, β = 90.00°, γ = 90.00°
Space group P4/mmm (No. 123)
Unique sites:
As 0.0000 0.0000 0.0000
Se 0.0000 0.5000 0.5000
I 0.5000 0.5000 0.0000
Cl 0.0000 0.0000 0.5000

Output
Offset from the most stable computed form: 0.000 eV per atom
Formation energy without anion corrections: 96 kJ per mole of atoms
Energy: -10.028 eV per cell
Volume: 26.93 A^3/atom
DOS at the Fermi energy: 6.0 states/eV per cell



(5)
The following is a DFT calculation (GGA-PBE) of a relaxed structure of As2SeICl.

a = 5.0303 Å, b = 5.0303 Å, c = 5.2466 Å
α = 90.00°, β = 90.00°, γ = 90.00°
Space group P4/mmm (No. 123)
Unique sites:
As 0.0000 0.5000 0.0000
Se 0.0000 0.0000 0.5000
I 0.5000 0.5000 0.5000
Cl 0.0000 0.0000 0.0000

Output
Offset from the most stable computed form: 0.000 eV per atom
Formation energy without anion corrections: 100 kJ per mole of atoms
Energy: -11.004 eV per cell
Volume: 26.55 A^3/atom
DOS at the Fermi energy: 6.3 states/eV per cell



(6)
The following is a DFT calculation (GGA-PBE) of a relaxed structure of As2SeICl.

a = 5.5460 Å, b = 5.5460 Å, c = 5.3246 Å
α = 90.00°, β = 90.00°, γ = 90.00°
Space group P4/mmm (No. 123)
Unique sites:
As 0.0000 0.5000 0.0000
Se 0.0000 0.0000 0.5000
I 0.0000 0.0000 0.0000
Cl 0.5000 0.5000 0.5000

Output
Offset from the most stable computed form: 0.093 eV per atom
Formation energy without anion corrections: 109 kJ per mole of atoms
Energy: -10.538 eV per cell
Volume: 32.75 A^3/atom
DOS at the Fermi energy: 5.2 states/eV per cell